Here is crystalline ThGa2Ni6 at its relaxed geometry from the Alexandria database. Energies are from PBE.

Cell and atoms, written as extended XYZ:
```
18
Lattice="0.000 5.282 5.282 5.282 0.000 5.282 5.282 5.282 0.000" Properties=species:S:1:pos:R:3 pbc="T T T"
Th 1.320 1.320 1.320
Th 9.243 9.243 9.243
Ga 5.282 2.641 2.641
Ga 2.641 5.282 2.641
Ga 2.641 2.641 5.282
Ga 5.282 5.282 5.282
Ni 3.961 3.961 1.261
Ni 3.961 1.261 3.961
Ni 6.661 3.961 3.961
Ni 6.602 6.602 3.902
Ni 6.602 3.902 6.602
Ni 9.302 6.602 6.602
Ni 1.261 3.961 3.961
Ni 3.961 6.661 3.961
Ni 3.961 3.961 6.661
Ni 3.902 6.602 6.602
Ni 6.602 9.302 6.602
Ni 6.602 6.602 9.302
```

Properties
**Energy of formation**: 0.080 eV/atom

Here is crystalline CdSiCl at its relaxed geometry from the Alexandria database. Energies are from PBE.

Cell and atoms, written as extended XYZ:
```
3
Lattice="0.000 2.736 7.600 1.556 0.000 7.600 1.556 2.736 0.000" Properties=species:S:1:pos:R:3 pbc="T T T"
Cd 0.000 0.000 0.000
Si 1.556 2.736 5.020
Cl 1.556 2.736 10.743
```

Properties
**Formation energy without anion corrections**: 12 kJ per mole of atoms
**Distance to the lowest polymorph of the same formula**: 250 meV/atom

Here is crystalline YNpOsRh at its relaxed geometry from the Alexandria database. Energies are from PBE.

Cell and atoms, written as extended XYZ:
```
4
Lattice="0.000 3.409 3.409 3.409 0.000 3.409 3.409 3.409 0.000" Properties=species:S:1:pos:R:3 pbc="T T T"
Y 0.000 0.000 0.000
Np 3.409 3.409 3.409
Os 1.704 1.704 1.704
Rh 5.113 5.113 5.113
```

Properties
**Energy of formation**: -0.226 eV/atom

Here is crystalline BaY2Mo at its relaxed geometry from the Alexandria database. Energies are from PBE.

Cell and atoms, written as extended XYZ:
```
4
Lattice="3.503 0.000 0.000 0.000 5.121 0.000 -1.532 0.000 7.370" Properties=species:S:1:pos:R:3 pbc="T T T"
Ba 0.000 0.000 0.000
Y 0.168 2.561 4.679
Y 1.608 0.000 3.156
Mo 2.270 2.561 2.273
```

Properties
**Distance to the lowest polymorph of the same formula**: 266 meV/atom
**Energy of formation**: 0.606 eV/atom

Here is crystalline CoTcBr at its relaxed geometry from the Alexandria database. Energies are from PBE.

Cell and atoms, written as extended XYZ:
```
3
Lattice="4.142 0.000 0.000 -2.071 3.587 0.000 0.000 0.000 3.026" Properties=species:S:1:pos:R:3 pbc="T T T"
Co 0.000 0.000 0.000
Tc 2.071 1.196 1.465
Br 0.000 2.391 2.012
```

Properties
**Formation energy without anion corrections**: 93 kJ per mole of atoms
**Distance to the lowest polymorph of the same formula**: 309 meV/atom

Here is crystalline La2CdCl at its relaxed geometry from the Alexandria database. Energies are from PBE.

Cell and atoms, written as extended XYZ:
```
8
Lattice="-3.052 3.052 8.100 3.052 -3.052 8.100 3.052 3.052 -8.100" Properties=species:S:1:pos:R:3 pbc="T T T"
La 4.577 1.285 -2.025
La 1.285 1.526 2.025
La -1.526 1.766 6.075
La 1.766 1.526 10.124
Cd 3.052 0.000 4.050
Cd 0.000 0.000 8.100
Cl 0.000 0.000 0.000
Cl 0.000 3.052 4.050
```

Properties
**Formation energy without anion corrections**: -46 kJ per mole of atoms
**Distance to the lowest polymorph of the same formula**: 392 meV/atom

no.,total moment (μB per atom)
1,0.000
2,0.000
3,0.742
4,0.000
5,0.315
6,0.000